Density functional theory data (meta-GGA SCAN) for a PBEsol-optimized structure of Lu3Pt4.

Cell: 5.594 7.578 7.578 Å, 114.15 104.25 104.25°
Fractional positions:
Pt: 0.500 0.000 0.000
Lu: 0.277 0.872 0.254
Pt: 0.451 0.681 0.516
Lu: 0.723 0.128 0.746
Lu: 0.023 0.746 0.618
Pt: 0.935 0.484 0.165
Pt: 0.065 0.516 0.835
Pt: 0.230 0.165 0.681
Pt: 0.000 0.000 0.000
Pt: 0.549 0.319 0.484
Lu: 0.977 0.254 0.382
Lu: 0.404 0.382 0.128
Pt: 0.770 0.835 0.319
Lu: 0.596 0.618 0.872

Calculated values
Total DFT energy (no corrections) = -65.32 eV per atom